No. 1
Here is a PBEsol-optimized structure of Li2MnOF3 from Alexandria via LeMat-Bulk. Energies are from SCAN. Values from VASP.

Cell and atoms, written as Quantum ESPRESSO input:
```
&SYSTEM
  ibrav = 0, nat = 14, ntyp = 4
/
ATOMIC_SPECIES
Li 6.94 Li.upf
Mn 54.94 Mn.upf
O 16.00 O.upf
F 19.00 F.upf
ATOMIC_POSITIONS crystal
Li 0.0000 0.0000 0.0000
Li 0.1113 0.5856 0.3539
Li 0.5821 0.5821 0.3246
Li 0.5856 0.1113 0.3539
Mn 0.1450 0.1450 0.6693
Mn 0.6158 0.6158 0.8450
O 0.4069 0.8157 0.6137
O 0.8157 0.4069 0.6137
F 0.3112 0.3112 0.5645
F 0.3248 0.3248 0.0973
F 0.3973 0.8121 0.0862
F 0.8121 0.3973 0.0862
F 0.8901 0.8901 0.1715
F 0.9180 0.9180 0.6265
CELL_PARAMETERS angstrom
4.7170 -3.0714 0.0000
4.7170 3.0714 0.0000
-3.4434 0.0000 4.7427
```

Calculated values
SG: Cm (8)
excess energy over the best structure of this formula in the dataset: 28 meV per atom

***

No. 2
Here is a PBEsol-optimized structure of FeCo3 from Alexandria via LeMat-Bulk. Energies are from SCAN. Values from VASP.

Cell and atoms, written as Quantum ESPRESSO input:
```
&SYSTEM
  ibrav = 0, nat = 8, ntyp = 2
/
ATOMIC_SPECIES
Fe 55.84 Fe.upf
Co 58.93 Co.upf
ATOMIC_POSITIONS crystal
Fe 0.2500 0.2500 0.1881
Fe 0.7500 0.7500 0.8119
Co 0.2500 0.2500 0.4391
Co 0.2500 0.2500 0.6885
Co 0.2500 0.2500 0.9348
Co 0.7500 0.7500 0.0652
Co 0.7500 0.7500 0.3115
Co 0.7500 0.7500 0.5609
CELL_PARAMETERS angstrom
2.7672 0.0000 0.0000
0.0000 2.7672 0.0000
0.0000 0.0000 11.2000
```

Calculated values
SG: P4/nmm (129)
energy of formation from the pure elements: -0.112 eV/atom

***

No. 3
Here is a PBEsol-optimized structure of BaAlP2 from Alexandria via LeMat-Bulk. Energies are from SCAN. Values from VASP.

Cell and atoms, written as Quantum ESPRESSO input:
```
&SYSTEM
  ibrav = 0, nat = 4, ntyp = 3
/
ATOMIC_SPECIES
Ba 137.33 Ba.upf
Al 26.98 Al.upf
P 30.97 P.upf
ATOMIC_POSITIONS crystal
Ba 0.0000 0.0000 0.0000
Al 0.5000 0.5000 0.0000
P 0.3360 0.8360 0.5000
P 0.6640 0.1640 0.5000
CELL_PARAMETERS angstrom
-2.2351 3.1420 3.4093
2.2351 -3.1420 3.4093
2.2351 3.1420 -3.4093
```

Calculated values
SG: Immm (71)
energy of formation from the pure elements: -0.486 eV/atom

***

No. 4
Here is a PBEsol-optimized structure of Na2CdAgAs from Alexandria via LeMat-Bulk. Energies are from SCAN. Values from VASP.

Cell and atoms, written as Quantum ESPRESSO input:
```
&SYSTEM
  ibrav = 0, nat = 5, ntyp = 4
/
ATOMIC_SPECIES
Na 22.99 Na.upf
Cd 112.41 Cd.upf
Ag 107.87 Ag.upf
As 74.92 As.upf
ATOMIC_POSITIONS crystal
Na 0.0000 0.5000 0.0000
Na 0.5000 0.0000 0.0000
Cd 0.0000 0.0000 0.0000
Ag 0.0000 0.0000 0.5000
As 0.5000 0.5000 0.5000
CELL_PARAMETERS angstrom
5.2947 0.0000 0.0000
0.0000 5.2947 0.0000
0.0000 0.0000 5.0357
```

Calculated values
SG: P4/mmm (123)
energy of formation from the pure elements: 0.463 eV/atom

***

No. 5
Here is a PBEsol-optimized structure of CrSiAs from Alexandria via LeMat-Bulk. Energies are from SCAN. Values from VASP.

Cell and atoms, written as Quantum ESPRESSO input:
```
&SYSTEM
  ibrav = 0, nat = 3, ntyp = 3
/
ATOMIC_SPECIES
Cr 52.00 Cr.upf
Si 28.09 Si.upf
As 74.92 As.upf
ATOMIC_POSITIONS crystal
Cr 0.0000 0.0000 0.0000
Si 0.3333 0.6667 0.5000
As 0.6667 0.3333 0.0000
CELL_PARAMETERS angstrom
4.2193 0.0000 0.0000
-2.1097 3.6540 0.0000
0.0000 0.0000 2.7018
```

Calculated values
SG: P-6m2 (187)

***

No. 6
Here is a PBEsol-optimized structure of MnCdHPd2 from Alexandria via LeMat-Bulk. Energies are from SCAN. Values from VASP.

Cell and atoms, written as Quantum ESPRESSO input:
```
&SYSTEM
  ibrav = 0, nat = 5, ntyp = 4
/
ATOMIC_SPECIES
Mn 54.94 Mn.upf
Cd 112.41 Cd.upf
H 1.01 H.upf
Pd 106.42 Pd.upf
ATOMIC_POSITIONS crystal
Mn 0.0000 0.0000 0.0000
Cd 0.5000 0.5000 0.0000
H 0.0000 0.0000 0.5000
Pd 0.0000 0.5000 0.5000
Pd 0.5000 0.0000 0.5000
CELL_PARAMETERS angstrom
4.0271 0.0000 0.0000
0.0000 4.0271 0.0000
0.0000 0.0000 3.9167
```

Calculated values
SG: P4/mmm (123)

***

No. 7
Here is a PBEsol-optimized structure of HoPtF7 from Alexandria via LeMat-Bulk. Energies are from SCAN. Values from VASP.

Cell and atoms, written as Quantum ESPRESSO input:
```
&SYSTEM
  ibrav = 0, nat = 36, ntyp = 3
/
ATOMIC_SPECIES
Ho 164.93 Ho.upf
Pt 195.08 Pt.upf
F 19.00 F.upf
ATOMIC_POSITIONS crystal
Ho 0.1861 0.2394 0.2645
Ho 0.1861 0.2606 0.7645
Ho 0.8139 0.7394 0.2355
Ho 0.8139 0.7606 0.7355
Pt 0.2718 0.7428 0.0426
Pt 0.2718 0.7572 0.5426
Pt 0.7282 0.2428 0.4574
Pt 0.7282 0.2572 0.9574
F 0.0213 0.7459 0.9488
F 0.0213 0.7541 0.4488
F 0.0328 0.5905 0.7321
F 0.0328 0.9095 0.2321
F 0.2539 0.5547 0.1764
F 0.2539 0.9453 0.6764
F 0.2751 0.0408 0.1353
F 0.2751 0.4592 0.6353
F 0.2775 0.0630 0.4577
F 0.2775 0.4370 0.9577
F 0.2961 0.5623 0.4133
F 0.2961 0.9377 0.9133
F 0.4779 0.2274 0.3583
F 0.4779 0.2726 0.8583
F 0.5221 0.7274 0.1417
F 0.5221 0.7726 0.6417
F 0.7039 0.0623 0.0867
F 0.7039 0.4377 0.5867
F 0.7225 0.5630 0.0423
F 0.7225 0.9370 0.5423
F 0.7249 0.5408 0.3647
F 0.7249 0.9592 0.8647
F 0.7461 0.0547 0.3236
F 0.7461 0.4453 0.8236
F 0.9672 0.0905 0.7679
F 0.9672 0.4095 0.2679
F 0.9787 0.2459 0.5512
F 0.9787 0.2541 0.0512
CELL_PARAMETERS angstrom
8.7223 0.0000 0.0000
0.0000 5.4139 0.0000
-5.4673 0.0000 10.4176
```

Calculated values
SG: P2_1/c (14)

***

No. 8
Here is a PBEsol-optimized structure of ScTlHgGe2 from Alexandria via LeMat-Bulk. Energies are from SCAN. Values from VASP.

Cell and atoms, written as Quantum ESPRESSO input:
```
&SYSTEM
  ibrav = 0, nat = 5, ntyp = 4
/
ATOMIC_SPECIES
Sc 44.96 Sc.upf
Tl 204.38 Tl.upf
Hg 200.59 Hg.upf
Ge 72.64 Ge.upf
ATOMIC_POSITIONS crystal
Sc 0.0000 0.0000 0.0000
Tl 0.0000 0.0000 0.5000
Hg 0.5000 0.5000 0.5000
Ge 0.0000 0.5000 0.0000
Ge 0.5000 0.0000 0.0000
CELL_PARAMETERS angstrom
5.0840 0.0000 0.0000
0.0000 5.0840 0.0000
0.0000 0.0000 5.6823
```

Calculated values
SG: P4/mmm (123)
energy of formation from the pure elements: 0.459 eV/atom

***

No. 9
Here is a PBEsol-optimized structure of Cu2Ag from Alexandria via LeMat-Bulk. Energies are from SCAN. Values from VASP.

Cell and atoms, written as Quantum ESPRESSO input:
```
&SYSTEM
  ibrav = 0, nat = 6, ntyp = 2
/
ATOMIC_SPECIES
Cu 63.55 Cu.upf
Ag 107.87 Ag.upf
ATOMIC_POSITIONS crystal
Cu 0.0000 0.0000 0.0000
Cu 0.0000 0.0000 0.5000
Cu 0.0000 0.5000 0.0000
Cu 0.5000 0.0000 0.0000
Ag 0.3750 0.3750 0.3750
Ag 0.6250 0.6250 0.6250
CELL_PARAMETERS angstrom
0.0000 3.4092 3.4092
3.4092 0.0000 3.4092
3.4092 3.4092 0.0000
```

Calculated values
SG: Fd-3m (227)
energy of formation from the pure elements: 0.074 eV/atom
excess energy over the best structure of this formula in the dataset: 0 meV per atom

***

No. 10
Here is a PBEsol-optimized structure of Li2Pb from Alexandria via LeMat-Bulk. Energies are from SCAN. Values from VASP.

Cell and atoms, written as Quantum ESPRESSO input:
```
&SYSTEM
  ibrav = 0, nat = 6, ntyp = 2
/
ATOMIC_SPECIES
Li 6.94 Li.upf
Pb 207.20 Pb.upf
ATOMIC_POSITIONS crystal
Li 0.0000 0.0000 0.0000
Li 0.0000 0.0000 0.5000
Li 0.3333 0.6667 0.2500
Li 0.6667 0.3333 0.7500
Pb 0.3333 0.6667 0.7500
Pb 0.6667 0.3333 0.2500
CELL_PARAMETERS angstrom
4.7914 0.0000 0.0000
-2.3957 4.1495 0.0000
0.0000 0.0000 5.8444
```

Calculated values
SG: P6_3/mmc (194)
energy of formation from the pure elements: -0.412 eV/atom

***

No. 11
Here is a PBEsol-optimized structure of SnP2OsCl from Alexandria via LeMat-Bulk. Energies are from SCAN. Values from VASP.

Cell and atoms, written as Quantum ESPRESSO input:
```
&SYSTEM
  ibrav = 0, nat = 5, ntyp = 4
/
ATOMIC_SPECIES
Sn 118.71 Sn.upf
P 30.97 P.upf
Os 190.23 Os.upf
Cl 35.45 Cl.upf
ATOMIC_POSITIONS crystal
Sn 0.0000 0.0000 0.0000
P 0.0000 0.5000 0.5000
P 0.5000 0.0000 0.5000
Os 0.5000 0.5000 0.5000
Cl 0.5000 0.5000 0.0000
CELL_PARAMETERS angstrom
4.5025 0.0000 0.0000
0.0000 4.5025 0.0000
0.0000 0.0000 5.1551
```

Calculated values
SG: P4/mmm (123)

***

No. 12
Here is a PBEsol-optimized structure of Ba2Li2Ag from Alexandria via LeMat-Bulk. Energies are from SCAN. Values from VASP.

Cell and atoms, written as Quantum ESPRESSO input:
```
&SYSTEM
  ibrav = 0, nat = 5, ntyp = 3
/
ATOMIC_SPECIES
Ba 137.33 Ba.upf
Li 6.94 Li.upf
Ag 107.87 Ag.upf
ATOMIC_POSITIONS crystal
Ba 0.0948 0.0948 0.0000
Ba 0.9052 0.9052 0.0000
Li 0.2500 0.7500 0.5000
Li 0.7500 0.2500 0.5000
Ag 0.5000 0.5000 0.0000
CELL_PARAMETERS angstrom
-2.0337 2.0337 10.0827
2.0337 -2.0337 10.0827
2.0337 2.0337 -10.0827
```

Calculated values
SG: I4/mmm (139)
energy of formation from the pure elements: -0.060 eV/atom

***

Which calculated total energy belongs to each record? In order, -8.4964, -17.6222, -17.5108, -17.6173, -15.8292, -23.8665, -18.8022, -38.1287, -20.5147, -27.2652, -26.8684, -23.1099 eV/atom.